No. 1
Entry from the Alexandria database: a relaxed structure of YTa2Ag (GGA-PBE).

It has space group Pmmm (No. 47), with a = 2.885 Å, b = 4.975 Å, c = 5.775 Å, α = 90.00°, β = 90.00° and γ = 90.00°. The distinct sites, in fractional coordinates, are Y at (0.000, 0.000, 0.000), Ta at (0.500, 0.500, 0.246) and Ag at (0.000, 0.000, 0.500).

As for the density: 11191 kg/m3. Its relative energy among the computed polymorphs is 351 meV per atom.

No. 2
Entry from the Alexandria database: a relaxed structure of HoB2Os (GGA-PBE).

It has space group Pnma (No. 62), with a = 5.887 Å, b = 5.306 Å, c = 6.368 Å, α = 90.00°, β = 90.00° and γ = 90.00°. The distinct sites, in fractional coordinates, are Ho at (0.010, 0.250, 0.165), B at (0.137, 0.582, 0.461) and Os at (0.177, 0.250, 0.680).

As for the density: 12579 kg/m3. Its relative energy among the computed polymorphs is 0 meV per atom.

No. 3
Entry from the Alexandria database: a relaxed structure of PmEr2Th3S6 (GGA-PBE).

It has space group C2/m (No. 12), with a = 6.805 Å, b = 11.712 Å, c = 7.090 Å, α = 90.00°, β = 108.42° and γ = 90.00°. The distinct sites, in fractional coordinates, are Pm at (0.000, 0.000, 0.000), Er at (0.000, 0.333, 0.000), Th at (0.000, 0.163, 0.500), Th at (0.000, 0.500, 0.500), S at (0.234, 0.500, 0.231) and S at (0.250, 0.171, 0.236).

As for the density: 8475 kg/m3. As for the energy relative to the elements, uncorrected: -183 kJ per mole of atoms.

No. 4
Entry from the Alexandria database: a relaxed structure of Cs2NaPtAu (GGA-PBE).

It has space group P4/mmm (No. 123), with a = 6.615 Å, b = 6.615 Å, c = 5.441 Å, α = 90.00°, β = 90.00° and γ = 90.00°. The distinct sites, in fractional coordinates, are Cs at (0.000, 0.500, 0.000), Na at (0.000, 0.000, 0.500), Pt at (0.000, 0.000, 0.000) and Au at (0.500, 0.500, 0.500).

Its energy is -2.484 eV/atom. As for the density: 4749 kg/m3.

No. 5
Entry from the Alexandria database: a relaxed structure of GaPd3Pt12 (GGA-PBE).

It has space group P4/mmm (No. 123), with a = 3.954 Å, b = 3.954 Å, c = 15.869 Å, α = 90.00°, β = 90.00° and γ = 90.00°. The distinct sites, in fractional coordinates, are Ga at (0.000, 0.000, 0.000), Pd at (0.000, 0.000, 0.249), Pd at (0.000, 0.000, 0.500), Pt at (0.000, 0.500, 0.122), Pt at (0.000, 0.500, 0.375), Pt at (0.500, 0.500, 0.000), Pt at (0.500, 0.500, 0.248) and Pt at (0.500, 0.500, 0.500).

Its energy is -5.823 eV/atom. As for the density: 18275 kg/m3.

No. 6
Entry from the Alexandria database: a relaxed structure of LiDyMg (GGA-PBE).

It has space group P3m1 (No. 156), with a = 5.1719 Å, b = 5.1719 Å, c = 3.2174 Å, α = 90.00°, β = 90.00° and γ = 120.00°. The distinct sites, in fractional coordinates, are Li at (0.0000, 0.0000, 0.0000), Dy at (0.3333, 0.6667, 0.5011) and Mg at (0.6667, 0.3333, 0.0016).

As for the density: 4317 kg/m3. Its relative energy among the computed polymorphs is 58 meV per atom.

No. 7
Entry from the Alexandria database: a relaxed structure of La2CdN2 (GGA-PBE).

It has space group P4/mbm (No. 127), with a = 7.574 Å, b = 7.574 Å, c = 3.292 Å, α = 90.00°, β = 90.00° and γ = 90.00°. The distinct sites, in fractional coordinates, are La at (0.143, 0.357, 0.000), Cd at (0.000, 0.000, 0.000) and N at (0.155, 0.655, 0.500).

As for the density: 7356 kg/m3. As for the energy relative to the elements, uncorrected: -24 kJ per mole of atoms. Its relative energy among the computed polymorphs is 587 meV per atom.

No. 8
Entry from the Alexandria database: a relaxed structure of SrLa2As2 (GGA-PBE).

It has space group P4/mbm (No. 127), with a = 8.350 Å, b = 8.350 Å, c = 4.183 Å, α = 90.00°, β = 90.00° and γ = 90.00°. The distinct sites, in fractional coordinates, are Sr at (0.000, 0.000, 0.000), La at (0.150, 0.350, 0.500) and As at (0.153, 0.653, 0.000).

As for the density: 5868 kg/m3. Its relative energy among the computed polymorphs is 0 meV per atom.

No. 9
Entry from the Alexandria database: a relaxed structure of CdCoI2 (GGA-PBE).

It has space group Fm-3m (No. 225), with a = 7.514 Å, b = 7.514 Å, c = 7.514 Å, α = 90.00°, β = 90.00° and γ = 90.00°. The distinct sites, in fractional coordinates, are Cd at (0.000, 0.000, 0.000), Co at (0.000, 0.000, 0.500) and I at (0.250, 0.250, 0.250).

As for the density: 6656 kg/m3. As for the energy relative to the elements, uncorrected: 56 kJ per mole of atoms. Its relative energy among the computed polymorphs is 411 meV per atom.

No. 10
Entry from the Alexandria database: a relaxed structure of CaMoPd (GGA-PBE).

It has space group Ima2 (No. 46), with a = 4.188 Å, b = 8.109 Å, c = 7.356 Å, α = 90.00°, β = 90.00° and γ = 90.00°. The distinct sites, in fractional coordinates, are Ca at (0.250, 0.179, 0.000), Mo at (0.250, 0.584, 0.836) and Pd at (0.250, 0.612, 0.191).

As for the density: 6446 kg/m3. Its relative energy among the computed polymorphs is 119 meV per atom.

No. 11
Entry from the Alexandria database: a relaxed structure of Sm3Er2Tm5 (GGA-PBE).

It has space group C2/c (No. 15), with a = 10.575 Å, b = 15.746 Å, c = 9.357 Å, α = 90.00°, β = 124.26° and γ = 90.00°. The distinct sites, in fractional coordinates, are Sm at (0.000, 0.234, 0.250), Sm at (0.145, 0.123, 0.046), Er at (0.151, 0.383, 0.549), Tm at (0.000, 0.027, 0.250), Tm at (0.000, 0.271, 0.750), Tm at (0.000, 0.471, 0.750) and Tm at (0.242, 0.389, 0.236).

As for the density: 8410 kg/m3. Its relative energy among the computed polymorphs is 0 meV per atom.

No. 12
Entry from the Alexandria database: a relaxed structure of CrCoRh (GGA-PBE).

It has space group P2_1/m (No. 11), with a = 4.897 Å, b = 2.665 Å, c = 5.852 Å, α = 90.00°, β = 101.98° and γ = 90.00°. The distinct sites, in fractional coordinates, are Cr at (0.093, 0.250, 0.376), Co at (0.425, 0.750, 0.648) and Rh at (0.235, 0.250, 0.957).

As for the density: 9506 kg/m3. Its relative energy among the computed polymorphs is 147 meV per atom.

> Which of these has the highest density?

GaPd3Pt12